No. 1
First-principles (PBE) data for crystalline SmHoInTc at its relaxed geometry, as listed in the Alexandria database.

Total magnetic moment (μB per formula unit): 0.00
Electronic total energy (eV per cell): -22.8
Crystal system: cubic

Cell: 5.117 5.117 5.117 Å, 60.00 60.00 60.00°
Element x y z (fractional)
Sm 0.000 0.000 0.000
Ho 0.500 0.500 0.500
In 0.750 0.750 0.750
Tc 0.250 0.250 0.250



No. 2
First-principles (PBE) data for crystalline BaSeF2 at its relaxed geometry, as listed in the Alexandria database.

Total magnetic moment (μB per formula unit): 2.00
Crystal system: trigonal
Energy above the lowest structure with this stoichiometry (eV per formula unit): 0.000
Formation energy without anion corrections (meV per atom): -2246

Cell: 8.043 8.043 8.043 Å, 30.54 30.54 30.54°
Element x y z (fractional)
Ba 0.000 0.000 0.000
Se 0.500 0.500 0.500
F 0.375 0.375 0.375
F 0.625 0.625 0.625



No. 3
First-principles (PBE) data for crystalline CdPbI4 at its relaxed geometry, as listed in the Alexandria database.

Total magnetic moment (μB per formula unit): 0.00
Crystal system: monoclinic
Formation energy without anion corrections (meV per atom): -599

Cell: 7.492 4.455 7.895 Å, 90.00 90.01 90.00°
Element x y z (fractional)
Cd 0.000 0.000 0.000
Pb 0.000 0.500 0.500
I 0.231 0.500 0.850
I 0.245 0.000 0.310
I 0.755 0.000 0.690
I 0.769 0.500 0.150



No. 4
First-principles (PBE) data for crystalline Zn3Ga2Sn at its relaxed geometry, as listed in the Alexandria database.

Total magnetic moment (μB per formula unit): 0.00
Electronic total energy (eV per cell): -27.1
Crystal system: monoclinic

Cell: 6.323 6.323 10.201 Å, 107.38 107.38 35.67°
Element x y z (fractional)
Zn 0.059 0.059 0.397
Zn 0.281 0.281 0.602
Zn 0.389 0.389 0.405
Zn 0.611 0.611 0.595
Zn 0.719 0.719 0.398
Zn 0.941 0.941 0.603
Ga 0.172 0.172 0.791
Ga 0.498 0.498 0.815
Ga 0.502 0.502 0.185
Ga 0.828 0.828 0.209
Sn 0.141 0.141 0.060
Sn 0.859 0.859 0.940



Q: Which formula does entry 1 have?
A: SmHoInTc



Q: What is the formula in the second record?
A: BaSeF2



Q: total magnetic moment of number 1 (SmHoInTc)?
A: 0.00 μB per formula unit